Here is a relaxed structure of HoEr8Tl2 from Alexandria. Energies are from PBE.

Computed properties:
**Energy relative to the elements**: 6.8 meV/atom
**Calculated total energy**: -4.16 eV per atom
**Fermi-level density of states**: 14.85 states/eV/cell

a b c (Å): 5.5196 8.7355 8.7355
angles (deg): 119.39 101.57 101.57
Fractional coordinates of all 11 atoms:
Tl  0.0000  0.3062  0.6938
Tl  0.0000  0.6938  0.3062
Er  0.8820  0.9046  0.6780
Er  0.5000  0.7839  0.2161
Er  0.1180  0.3220  0.0954
Er  0.5000  0.2161  0.7839
Er  0.8820  0.6780  0.9046
Er  0.2979  0.5995  0.5995
Er  0.1180  0.0954  0.3220
Er  0.7021  0.4005  0.4005
Ho  0.5000  0.0000  0.0000